Record 1
K2Hg | GGA-PBE | relaxed

## Properties
Space-group type: P6/mmm (191)
Density of states at the Fermi level, states/eV per cell: 2.21
Polymorph energy (0 for the lowest one), meV/atom: 137
Calculated total energy, eV per atom: -0.86
Formation energy from the elements, eV/f.u.: -0.096

a b c (Å): 6.165 6.165 3.890
angles (deg): 90.00 90.00 120.00
Fractional positions:
Hg  0.000  0.000  0.000
K  0.333  0.667  0.500
K  0.667  0.333  0.500



Record 2
CrSbAu2 | GGA-PBE | relaxed

## Properties
Space-group type: P4mm (99)
Density of states at the Fermi level, states/eV per cell: 2.41
Uncorrected formation energy, eV/atom: 0.168
Calculated total energy, eV per atom: -4.91

a b c (Å): 3.515 3.515 6.261
angles (deg): 90.00 90.00 90.00
Last column: magnetic moment on the atom in μB.
Fractional positions:
Cr  0.000  0.000  0.485  3.39
Au  0.000  0.000  0.025  -0.01
Sb  0.500  0.500  0.728  -0.07
Au  0.500  0.500  0.262  0.04



Record 3
CaNi2N | GGA-PBE | relaxed

## Properties
Space-group type: I4_1/amd (141)
Density of states at the Fermi level, states/eV per cell: 3.64
Uncorrected formation energy, eV/atom: -0.186
Calculated total energy, eV per atom: -5.66

a b c (Å): 4.701 4.701 6.594
angles (deg): 69.12 69.12 90.00
Fractional positions:
Ni  0.375  0.625  0.250
Ni  0.375  0.625  0.750
Ca  0.750  0.250  0.500
Ni  0.375  0.125  0.250
Ni  0.875  0.625  0.750
Ca  0.000  0.000  0.000
N  0.500  0.500  0.000
N  0.250  0.750  0.500



Record 4
Nd2Sm2Sb3 | GGA-PBE | relaxed

## Properties
Space-group type: I2_13 (199)
Density of states at the Fermi level, states/eV per cell: 14.14
Uncorrected formation energy, eV/atom: -1.054
Polymorph energy (0 for the lowest one), meV/atom: 0
Calculated total energy, eV per atom: -5.53

a b c (Å): 8.188 8.188 8.188
angles (deg): 109.47 109.47 109.47
Fractional positions:
Sm  0.140  0.640  0.640
Sm  0.360  0.500  0.000
Sb  0.250  0.872  0.122
Sb  0.128  0.378  0.250
Sb  0.750  0.628  0.378
Nd  0.856  0.500  0.000
Sb  0.878  0.250  0.628
Nd  0.000  0.000  0.356
Sb  0.372  0.122  0.750
Nd  0.644  0.144  0.144
Sm  0.000  0.000  0.860
Nd  0.500  0.356  0.500
Sb  0.622  0.750  0.872
Sm  0.500  0.860  0.500